# 1
This record from Alexandria via LeMat-Bulk describes an optimized crystal structure of HoTm5Cd6. The functional is PBE.

volume	25.340	Å³ per atom
spin magnetization	0.00	Bohr magnetons per cell
energy of formation from the pure elements	-3.77	eV per formula unit

abc: 5.2226 7.4077 8.2736
angles: 90.00 108.20 90.00
Fractional positions:
Ho (0.0000, 0.0000, 0.0000)
Tm (0.0000, 0.5000, 0.0000)
Tm (0.3327, 0.0000, 0.6655)
Tm (0.3340, 0.5000, 0.6680)
Tm (0.6660, 0.5000, 0.3320)
Tm (0.6673, 0.0000, 0.3345)
Cd (0.1671, 0.2515, 0.3343)
Cd (0.1671, 0.7485, 0.3343)
Cd (0.5000, 0.2508, 0.0000)
Cd (0.5000, 0.7492, 0.0000)
Cd (0.8329, 0.2515, 0.6657)
Cd (0.8329, 0.7485, 0.6657)

# 2
This record from Alexandria via LeMat-Bulk describes an optimized crystal structure of Ho5Tm3Cd2. The functional is PBE.

volume	30.982	Å³ per atom
spin magnetization	0.00	Bohr magnetons per cell
energy of formation from the pure elements	2.02	eV per formula unit

abc: 10.2740 10.2740 10.2740
angles: 100.23 91.50 142.76
Fractional positions:
Ho (0.1736, 0.0992, 0.2728)
Ho (0.2500, 0.0109, 0.7609)
Ho (0.2500, 0.2500, 0.0000)
Ho (0.2500, 0.4891, 0.2391)
Ho (0.3264, 0.5992, 0.9256)
Ho (0.6736, 0.4008, 0.0744)
Ho (0.7500, 0.5109, 0.7609)
Ho (0.7500, 0.7500, 0.0000)
Ho (0.7500, 0.9891, 0.2391)
Ho (0.8264, 0.9008, 0.7272)
Tm (0.2128, 0.3621, 0.5748)
Tm (0.2500, 0.7500, 0.5000)
Tm (0.2872, 0.8621, 0.1493)
Tm (0.7128, 0.1379, 0.8507)
Tm (0.7500, 0.2500, 0.5000)
Tm (0.7872, 0.6379, 0.4252)
Cd (0.1325, 0.6305, 0.7630)
Cd (0.3675, 0.1305, 0.4980)
Cd (0.6325, 0.8695, 0.5020)
Cd (0.8675, 0.3695, 0.2370)

# 3
This record from Alexandria via LeMat-Bulk describes an optimized crystal structure of Ho2TmCd. The functional is PBE.

offset from the most stable computed form	0.0	meV/atom
volume	28.375	Å³ per atom
spin magnetization	0.00	Bohr magnetons per cell
energy of formation from the pure elements	-0.56	eV per formula unit

abc: 3.5481 3.5481 9.0158
angles: 90.00 90.00 90.00
Fractional positions:
Ho (0.0000, 0.0000, 0.2307)
Ho (0.0000, 0.0000, 0.7693)
Tm (0.5000, 0.5000, 0.5000)
Cd (0.5000, 0.5000, 0.0000)

# 4
This record from Alexandria via LeMat-Bulk describes an optimized crystal structure of Ho6Tm8Cd. The functional is PBE.

volume	31.647	Å³ per atom
spin magnetization	0.00	Bohr magnetons per cell
energy of formation from the pure elements	3.54	eV per formula unit

abc: 9.0880 9.0880 6.6367
angles: 90.00 90.00 120.00
Fractional positions:
Ho (0.0825, 0.6818, 0.1006)
Ho (0.3182, 0.4007, 0.1006)
Ho (0.4007, 0.0825, 0.8994)
Ho (0.5993, 0.9175, 0.1006)
Ho (0.6818, 0.5993, 0.8994)
Ho (0.9175, 0.3182, 0.8994)
Tm (0.0193, 0.3349, 0.3936)
Tm (0.3157, 0.9807, 0.3936)
Tm (0.3333, 0.6667, 0.6860)
Tm (0.3349, 0.3157, 0.6064)
Tm (0.6651, 0.6843, 0.3936)
Tm (0.6667, 0.3333, 0.3140)
Tm (0.6843, 0.0193, 0.6064)
Tm (0.9807, 0.6651, 0.6064)
Cd (0.0000, 0.0000, 0.0000)

# 5
This record from Alexandria via LeMat-Bulk describes an optimized crystal structure of Ho5Tm4Cd. The functional is PBE.

offset from the most stable computed form	271.3	meV/atom
volume	31.263	Å³ per atom
spin magnetization	0.00	Bohr magnetons per cell
energy of formation from the pure elements	2.31	eV per formula unit

abc: 7.7750 7.7750 7.7750
angles: 98.91 98.91 133.65
Fractional positions:
Ho (0.0000, 0.0000, 0.0000)
Ho (0.4518, 0.5330, 0.6299)
Ho (0.5330, 0.9031, 0.0812)
Ho (0.8219, 0.4518, 0.9188)
Ho (0.9031, 0.8219, 0.3701)
Tm (0.1384, 0.5270, 0.3029)
Tm (0.2241, 0.8355, 0.6971)
Tm (0.5270, 0.2241, 0.3886)
Tm (0.8355, 0.1384, 0.6114)
Cd (0.4614, 0.4614, 0.0000)

# 6
This record from Alexandria via LeMat-Bulk describes an optimized crystal structure of Ho5TmCd6. The functional is PBE.

volume	25.801	Å³ per atom
spin magnetization	0.00	Bohr magnetons per cell
energy of formation from the pure elements	-3.81	eV per formula unit

abc: 8.3262 8.3262 7.4576
angles: 90.00 90.00 143.21
Fractional positions:
Ho (0.0000, 0.0000, 0.0000)
Ho (0.3328, 0.6672, 0.0000)
Ho (0.3338, 0.6662, 0.5000)
Ho (0.6662, 0.3338, 0.5000)
Ho (0.6672, 0.3328, 0.0000)
Tm (0.0000, 0.0000, 0.5000)
Cd (0.1662, 0.8338, 0.2513)
Cd (0.1662, 0.8338, 0.7487)
Cd (0.5000, 0.5000, 0.2512)
Cd (0.5000, 0.5000, 0.7488)
Cd (0.8338, 0.1662, 0.2513)
Cd (0.8338, 0.1662, 0.7487)

# 7
This record from Alexandria via LeMat-Bulk describes an optimized crystal structure of Ho2TmCd2. The functional is PBE.

offset from the most stable computed form	98.3	meV/atom
volume	27.531	Å³ per atom
spin magnetization	0.00	Bohr magnetons per cell
energy of formation from the pure elements	-0.77	eV per formula unit

abc: 5.8676 5.8676 5.8676
angles: 130.00 109.64 91.21
Fractional positions:
Ho (0.1984, 0.1984, 0.0000)
Ho (0.8016, 0.8016, 0.0000)
Tm (0.5000, 0.0000, 0.5000)
Cd (0.2113, 0.5000, 0.7113)
Cd (0.7887, 0.5000, 0.2887)

# 8
This record from Alexandria via LeMat-Bulk describes an optimized crystal structure of HoTm4Cd2. The functional is PBE.

volume	31.714	Å³ per atom
spin magnetization	0.00	Bohr magnetons per cell
energy of formation from the pure elements	1.57	eV per formula unit

abc: 10.4832 10.4832 10.4832
angles: 27.85 27.85 27.85
Fractional positions:
Ho (0.0000, 0.0000, 0.0000)
Tm (0.2029, 0.2029, 0.2029)
Tm (0.3938, 0.3938, 0.3938)
Tm (0.6062, 0.6062, 0.6062)
Tm (0.7971, 0.7971, 0.7971)
Cd (0.1004, 0.1004, 0.1004)
Cd (0.8996, 0.8996, 0.8996)

# 9
This record from Alexandria via LeMat-Bulk describes an optimized crystal structure of HoTm4Cd. The functional is PBE.

offset from the most stable computed form	71.3	meV/atom
volume	28.482	Å³ per atom
spin magnetization	0.00	Bohr magnetons per cell
energy of formation from the pure elements	-0.09	eV per formula unit

abc: 5.9646 5.9646 11.5702
angles: 104.78 104.78 60.34
Fractional positions:
Ho (0.0000, 0.5000, 0.0000)
Ho (0.5000, 0.0000, 0.5000)
Tm (0.1640, 0.6742, 0.4993)
Tm (0.2512, 0.4158, 0.7496)
Tm (0.3258, 0.8360, 0.0007)
Tm (0.4158, 0.2512, 0.2496)
Tm (0.5842, 0.7488, 0.7504)
Tm (0.6742, 0.1640, 0.9993)
Tm (0.7488, 0.5842, 0.2504)
Tm (0.8360, 0.3258, 0.5007)
Cd (0.0824, 0.9176, 0.2500)
Cd (0.9176, 0.0824, 0.7500)

# 10
This record from Alexandria via LeMat-Bulk describes an optimized crystal structure of Ho2TmCd4. The functional is PBE.

offset from the most stable computed form	459.2	meV/atom
volume	34.191	Å³ per atom
spin magnetization	0.00	Bohr magnetons per cell
energy of formation from the pure elements	2.16	eV per formula unit

abc: 8.6936 8.6936 8.6936
angles: 142.74 142.74 53.72
Fractional positions:
Ho (0.1029, 0.1029, 0.0000)
Ho (0.8971, 0.8971, 0.0000)
Tm (0.5000, 0.5000, 0.0000)
Cd (0.0000, 0.5000, 0.5000)
Cd (0.3047, 0.3047, 0.0000)
Cd (0.5000, 0.0000, 0.5000)
Cd (0.6953, 0.6953, 0.0000)